# 1
DFT (PBE) results for a relaxed Pa2TiTc crystal.

Summary:
Total magnetic moment = 0.01 μB/f.u.
Uncorrected energy = -147.60 eV per cell
N(E_F) = 1.78 states/eV per atom
Energy of formation = 34 kJ/mol of formula units

Cell lengths 6.9277, 6.9277, 6.9277 Å; angles 90.00, 90.00, 90.00 degrees
Last column: nearest neighbours and their distance in Å.
Space group Fm-3m (No. 225)
Inequivalent atoms, fractional coordinates:
1 Pa 0.2500 0.2500 0.2500 x8  4 Tc 3.00, 4 Ti 3.00
2 Ti 0.0000 0.0000 0.0000 x4  8 Pa 3.00
3 Tc 0.0000 0.0000 0.5000 x4  8 Pa 3.00


# 2
DFT (PBE) results for a relaxed MgGaSbPb crystal.

Summary:
Total magnetic moment = 0.00 μB/f.u.
Uncorrected energy = -49.21 eV per cell
N(E_F) = 0.52 states/eV per atom
ΔE_f (raw) = 0.037 eV per atom

Cell lengths 7.3753, 7.3753, 7.3753 Å; angles 90.00, 90.00, 90.00 degrees
Last column: nearest neighbours and their distance in Å.
Space group F-43m (No. 216)
Inequivalent atoms, fractional coordinates:
1 Mg 0.0000 0.0000 0.0000 x4  4 Pb 3.19, 4 Sb 3.19
2 Ga 0.0000 0.0000 0.5000 x4  4 Pb 3.19, 4 Sb 3.19
3 Sb 0.2500 0.2500 0.2500 x4  4 Mg 3.19, 4 Ga 3.19
4 Pb 0.2500 0.2500 0.7500 x4  4 Mg 3.19, 4 Ga 3.19


# 3
DFT (PBE) results for a relaxed Mg2CdPd crystal.

Summary:
Total magnetic moment = 0.00 μB/f.u.
Uncorrected energy = -11.12 eV per cell
N(E_F) = 0.23 states/eV per atom
Energy of formation = -176 kJ/mol of formula units

Cell lengths 3.2967, 3.2967, 6.8278 Å; angles 90.00, 90.00, 90.00 degrees
Last column: nearest neighbours and their distance in Å.
Space group P4/mmm (No. 123)
Inequivalent atoms, fractional coordinates:
1 Mg 0.0000 0.0000 0.2189 x2  4 Pd 2.77, 1 Mg 2.99, 4 Cd 3.02
2 Cd 0.5000 0.5000 0.5000 x1  8 Mg 3.02, 4 Cd 3.30
3 Pd 0.5000 0.5000 0.0000 x1  8 Mg 2.77


# 4
DFT (PBE) results for a relaxed Na2PuReO6 crystal.

Summary:
Total magnetic moment = 4.76 μB/f.u.
Uncorrected energy = -79.65 eV per cell
N(E_F) = 0.60 states/eV per atom
ΔE_f (raw) = -2.049 eV per atom

Cell lengths 5.8022, 5.8022, 4.2850 Å; angles 90.00, 90.00, 90.00 degrees
Last column: nearest neighbours and their distance in Å.
Space group P4mm (No. 99)
Inequivalent atoms, fractional coordinates:
1 Na 0.0000 0.5000 0.0000 x2  4 O 2.56
2 Pu 0.0000 0.0000 0.6068 x1  6 O 2.11-2.24
3 Re 0.5000 0.5000 0.5592 x1  5 O 1.78-1.90
4 O 0.0000 0.0000 0.1132 x1  2 Pu 2.11-2.17
5 O 0.2723 0.2723 0.6440 x4  1 Re 1.90
6 O 0.5000 0.5000 0.1434 x1  1 Re 1.78


# 5
DFT (PBE) results for a relaxed TcMoP2 crystal.

Summary:
Total magnetic moment = 0.00 μB/f.u.
Uncorrected energy = -123.17 eV per cell
N(E_F) = 0.94 states/eV per atom
Energy of formation = 118 kJ/mol of formula units

Cell lengths 6.0994, 6.0994, 6.0994 Å; angles 90.00, 90.00, 90.00 degrees
Last column: nearest neighbours and their distance in Å.
Space group F-43m (No. 216)
Inequivalent atoms, fractional coordinates:
1 Tc 0.0000 0.0000 0.0000 x4  4 P 2.64, 4 Mo 2.64
2 Mo 0.2500 0.2500 0.7500 x4  4 Tc 2.64, 4 P 2.64
3 P 0.0000 0.0000 0.5000 x4  4 Mo 2.64, 4 P 2.64
4 P 0.2500 0.2500 0.2500 x4  4 P 2.64, 4 Tc 2.64


# 6
DFT (PBE) results for a relaxed Zr3In2Hg4 crystal.

Summary:
Total magnetic moment = 0.00 μB/f.u.
Uncorrected energy = -130.29 eV per cell
N(E_F) = 0.58 states/eV per atom
Energy of formation = -23 kJ/mol of formula units

Cell lengths 13.2557, 11.2919, 5.7286 Å; angles 90.00, 101.40, 90.00 degrees
Last column: nearest neighbours and their distance in Å.
Space group C2/c (No. 15)
Inequivalent atoms, fractional coordinates:
1 Zr 0.0000 0.0204 0.2500 x4  2 Zr 2.90, 2 Hg 3.12, 2 In 3.19
2 Zr 0.0948 0.4321 0.9831 x8  4 Hg 2.95-3.19, 4 Zr 2.98-3.29, 2 In 3.09-3.12
3 In 0.2147 0.0722 0.5984 x8  4 Hg 2.94-3.19, 3 Zr 3.09-3.19
4 Hg 0.0895 0.2880 0.5024 x8  2 In 2.94-3.19, 3 Zr 2.95-3.19, 1 Hg 3.15
5 Hg 0.1543 0.1794 0.0463 x8  2 In 2.95-3.08, 3 Zr 2.96-3.28, 3 Hg 3.13-3.30


# 7
DFT (PBE) results for a relaxed CsRbMgCu2 crystal.

Summary:
Total magnetic moment = 0.00 μB/f.u.
Uncorrected energy = -6.31 eV per cell
N(E_F) = 0.05 states/eV per atom
Energy of formation = 511 kJ/mol of formula units

Cell lengths 6.3197, 6.3197, 7.0644 Å; angles 90.00, 90.00, 90.00 degrees
Last column: nearest neighbours and their distance in Å.
Space group P4/mmm (No. 123)
Inequivalent atoms, fractional coordinates:
1 Cs 0.0000 0.0000 0.0000 x1  4 Cu 3.16, 2 Rb 3.53
2 Rb 0.0000 0.0000 0.5000 x1  2 Cs 3.53
3 Mg 0.5000 0.5000 0.5000 x1  4 Rb 4.47, 8 Cu 4.74
4 Cu 0.0000 0.5000 0.0000 x2  2 Cs 3.16


# 8
DFT (PBE) results for a relaxed CrHg2 crystal.

Summary:
Total magnetic moment = 4.04 μB/f.u.
Uncorrected energy = -36.06 eV per cell
N(E_F) = 0.54 states/eV per atom
Energy of formation = 117 kJ/mol of formula units

Cell lengths 3.6683, 14.1348, 4.7394 Å; angles 90.00, 90.00, 90.00 degrees
Last column: nearest neighbours and their distance in Å.
Space group Cmcm (No. 63)
Inequivalent atoms, fractional coordinates:
1 Cr 0.0000 0.0907 0.2500 x4  10 Hg 2.92-3.24
2 Hg 0.0000 0.2468 0.7500 x4  4 Cr 2.94-3.24, 6 Hg 3.00-3.10
3 Hg 0.0000 0.4300 0.2500 x4  6 Cr 2.92-3.01, 4 Hg 3.09-3.10


# 9
DFT (PBE) results for a relaxed KBe2Tc crystal.

Summary:
Total magnetic moment = 1.54 μB/f.u.
Uncorrected energy = -53.62 eV per cell
N(E_F) = 0.76 states/eV per atom
Energy of formation = 532 kJ/mol of formula units

Cell lengths 6.3849, 6.3849, 6.3849 Å; angles 90.00, 90.00, 90.00 degrees
Last column: nearest neighbours and their distance in Å.
Space group Fm-3m (No. 225)
Inequivalent atoms, fractional coordinates:
1 K 0.0000 0.0000 0.0000 x4  8 Be 2.76
2 Be 0.2500 0.2500 0.2500 x8  4 K 2.76, 4 Tc 2.76
3 Tc 0.0000 0.0000 0.5000 x4  8 Be 2.76


# 10
DFT (PBE) results for a relaxed Sr2SnAsRu crystal.

Summary:
Total magnetic moment = 0.00 μB/f.u.
Uncorrected energy = -22.16 eV per cell
N(E_F) = 0.65 states/eV per atom
Energy of formation = -84 kJ/mol of formula units

Cell lengths 5.8879, 5.8879, 4.5643 Å; angles 90.00, 90.00, 90.00 degrees
Last column: nearest neighbours and their distance in Å.
Space group P4/mmm (No. 123)
Inequivalent atoms, fractional coordinates:
1 Sr 0.0000 0.5000 0.0000 x2  2 As 2.94
2 Sn 0.0000 0.0000 0.5000 x1  8 Sr 3.72, 4 Ru 4.16
3 As 0.5000 0.5000 0.0000 x1  2 Ru 2.28
4 Ru 0.5000 0.5000 0.5000 x1  2 As 2.28


# 11
DFT (PBE) results for a relaxed La4Tb5Y crystal.

Summary:
Total magnetic moment = 0.00 μB/f.u.
Uncorrected energy = -94.98 eV per cell
N(E_F) = 1.22 states/eV per atom
Energy of formation = 177 kJ/mol of formula units

Cell lengths 10.8018, 10.8018, 5.8341 Å; angles 90.00, 90.00, 90.00 degrees
Last column: nearest neighbours and their distance in Å.
Space group P4/nmm (No. 129, origin choice 2)
Inequivalent atoms, fractional coordinates:
1 La 0.0462 0.7500 0.1258 x8  1 Tb 3.10, 1 Y 3.20, 2 La 3.44
2 Tb 0.0904 0.0904 0.3476 x8  3 Tb 3.28-3.45, 2 La 3.57
3 Tb 0.2500 0.7500 0.5000 x2  4 La 3.10
4 Y 0.2500 0.2500 0.8728 x2  4 La 3.20


# 12
DFT (PBE) results for a relaxed Ca3TmTl4 crystal.

Summary:
Total magnetic moment = 0.00 μB/f.u.
Uncorrected energy = -23.18 eV per cell
N(E_F) = 0.71 states/eV per atom
Energy of formation = -312 kJ/mol of formula units

Cell lengths 3.8241, 3.8241, 15.6475 Å; angles 90.00, 90.00, 90.00 degrees
Last column: nearest neighbours and their distance in Å.
Space group P4/mmm (No. 123)
Inequivalent atoms, fractional coordinates:
1 Ca 0.0000 0.0000 0.0000 x1  8 Tl 3.36
2 Ca 0.0000 0.0000 0.2535 x2  8 Tl 3.35-3.36
3 Tm 0.0000 0.0000 0.5000 x1  8 Tl 3.28
4 Tl 0.5000 0.5000 0.1272 x2  8 Ca 3.35-3.36
5 Tl 0.5000 0.5000 0.3810 x2  4 Tm 3.28, 4 Ca 3.36


# 13
DFT (PBE) results for a relaxed NaCa2ThTe4 crystal.

Summary:
Total magnetic moment = 0.00 μB/f.u.
Uncorrected energy = -36.09 eV per cell
N(E_F) = 0.32 states/eV per atom
ΔE_f (raw) = -1.347 eV per atom

Cell lengths 7.8093, 4.4406, 7.8759 Å; angles 90.00, 108.41, 90.00 degrees
Last column: nearest neighbours and their distance in Å.
Space group P2/m (No. 10)
Inequivalent atoms, fractional coordinates:
1 Na 0.0000 0.0000 0.0000 x1  6 Te 3.19-3.22
2 Ca 0.5000 0.0000 0.5000 x1  6 Te 3.17-3.18
3 Ca 0.5000 0.5000 0.0000 x1  6 Te 3.19-3.22
4 Th 0.0000 0.5000 0.5000 x1  6 Te 3.14-3.20
5 Te 0.2505 0.5000 0.2566 x2  1 Th 3.14, 3 Ca 3.17-3.22, 2 Na 3.22
6 Te 0.2515 0.0000 0.7506 x2  3 Ca 3.18-3.19, 1 Na 3.19, 2 Th 3.20


# 14
DFT (PBE) results for a relaxed RbNa2CdRh crystal.

Summary:
Total magnetic moment = 0.07 μB/f.u.
Uncorrected energy = -9.44 eV per cell
N(E_F) = 0.52 states/eV per atom
Energy of formation = 235 kJ/mol of formula units

Cell lengths 5.5603, 5.5603, 5.9404 Å; angles 90.00, 90.00, 90.00 degrees
Last column: nearest neighbours and their distance in Å.
Space group P4/mmm (No. 123)
Inequivalent atoms, fractional coordinates:
1 Rb 0.0000 0.0000 0.0000 x1  2 Rh 2.97
2 Na 0.0000 0.5000 0.5000 x2  2 Rh 2.78
3 Cd 0.5000 0.5000 0.0000 x1  4 Rb 3.93, 8 Na 4.07
4 Rh 0.0000 0.0000 0.5000 x1  4 Na 2.78, 2 Rb 2.97


# 15
DFT (PBE) results for a relaxed Cr2Os2Ru crystal.

Summary:
Total magnetic moment = 0.00 μB/f.u.
Uncorrected energy = -99.23 eV per cell
N(E_F) = 1.34 states/eV per atom
Energy of formation = 132 kJ/mol of formula units

Cell lengths 7.1106, 7.1106, 2.7413 Å; angles 90.00, 90.00, 90.00 degrees
Last column: nearest neighbours and their distance in Å.
Space group P4/mbm (No. 127)
Inequivalent atoms, fractional coordinates:
1 Cr 0.1666 0.3334 0.0000 x4  6 Os 2.44-2.54
2 Os 0.1323 0.6323 0.5000 x4  6 Cr 2.44-2.54, 1 Os 2.66
3 Ru 0.0000 0.0000 0.5000 x2  2 Ru 2.74, 4 Os 2.78, 8 Cr 2.98


# 16
DFT (PBE) results for a relaxed TmIn2Pd2 crystal.

Summary:
Total magnetic moment = 0.00 μB/f.u.
Uncorrected energy = -47.36 eV per cell
N(E_F) = 0.36 states/eV per atom
Energy of formation = -323 kJ/mol of formula units

Cell lengths 5.4109, 4.6885, 8.8243 Å; angles 90.00, 106.69, 90.00 degrees
Last column: nearest neighbours and their distance in Å.
Space group P2_1/m (No. 11)
Inequivalent atoms, fractional coordinates:
1 Tm 0.0433 0.2500 0.2587 x2  6 Pd 2.84-3.02
2 In 0.3291 0.2500 0.9603 x2  4 Pd 2.70-2.84, 2 In 2.94
3 In 0.4136 0.2500 0.6194 x2  5 Pd 2.75-2.98
4 Pd 0.1217 0.7500 0.4490 x2  4 In 2.75-2.98, 3 Tm 2.84-2.96, 2 Pd 2.95
5 Pd 0.1889 0.7500 0.0966 x2  5 In 2.70-2.84, 3 Tm 2.97-3.02


# 17
DFT (PBE) results for a relaxed PrTh2Ni9 crystal.

Summary:
Total magnetic moment = 0.00 μB/f.u.
Uncorrected energy = -228.49 eV per cell
N(E_F) = 0.83 states/eV per atom
Energy of formation = -435 kJ/mol of formula units

Cell lengths 5.0369, 5.0369, 24.9712 Å; angles 90.00, 90.00, 120.00 degrees
Last column: nearest neighbours and their distance in Å.
Space group R-3m (No. 166, hexagonal axes)
Inequivalent atoms, fractional coordinates:
1 Pr 0.0000 0.0000 0.0000 x3  18 Ni 2.91-3.25
2 Th 0.0000 0.0000 0.1365 x6  9 Ni 2.86-3.00
3 Ni 0.0000 0.0000 0.3330 x6  6 Ni 2.51-2.53
4 Ni 0.0000 0.0000 0.5000 x3  6 Ni 2.56
5 Ni 0.0013 0.5007 0.9177 x18  7 Ni 2.51-2.56